VASP calculation (PBE) on crystalline Tb3MgOs at its relaxed geometry.

Cell lengths 5.9228, 5.9228, 8.7666 Å; angles 102.06, 102.06, 112.44 degrees
Fractional positions:
Tb1 0.2950 0.7950 0.0900
Tb2 0.7050 0.2050 0.9100
Tb3 0.0834 0.1934 0.2768
Tb4 0.9166 0.8066 0.7232
Tb5 0.6934 0.5834 0.2768
Tb6 0.3066 0.4166 0.7232
Mg1 0.7074 0.2074 0.5000
Mg2 0.2926 0.7926 0.5000
Os1 0.2500 0.2500 0.0000
Os2 0.7500 0.7500 0.0000

Its offset from the most stable computed form is 0 meV per atom. The space-group type is No. 69. For the formation energy, the calculation gives -0.177 eV/atom. The crystal system is orthorhombic. The value obtained for the total magnetization is 0.00 μB per atom.